No. 1
A plane-wave DFT calculation with GGA-PBE was carried out for crystalline Ba2Np3Se6 at its relaxed geometry.

Values from the calculation:
M_tot: 13.0 μB per formula unit
theoretical density: 6845 kg/m3
energy relative to the elements, uncorrected: -1.425 eV per atom
Fermi-level density of states: 2.96 states/eV/atom

Geometry as POSCAR:
```
Ba2Np3Se6
1.0
3.673 -6.357 0.000
3.673 6.357 0.000
-2.437 0.000 7.582
Ba Np Se
2 3 6
Direct
0.167 0.833 0.000
0.833 0.167 0.000
0.000 0.000 0.500
0.335 0.665 0.500
0.665 0.335 0.500
0.069 0.404 0.712
0.261 0.261 0.287
0.404 0.069 0.712
0.596 0.931 0.288
0.739 0.739 0.713
0.931 0.596 0.288
```



No. 2
A plane-wave DFT calculation with GGA-PBE was carried out for crystalline Ca2AsW at its relaxed geometry.

Values from the calculation:
M_tot: 0.0 μB per formula unit
theoretical density: 6393 kg/m3
Fermi-level density of states: 1.07 states/eV/atom
formation energy from the elements: 506 meV/atom

Geometry as POSCAR:
```
Ca2AsW
1.0
-2.187 2.187 4.600
2.187 -2.187 4.600
2.187 2.187 -4.600
Ca As W
2 1 1
Direct
0.000 0.000 0.000
0.750 0.250 0.500
0.500 0.500 0.000
0.250 0.750 0.500
```



No. 3
A plane-wave DFT calculation with GGA-PBE was carried out for crystalline TbDy8Tl2 at its relaxed geometry.

Values from the calculation:
M_tot: 0.0 μB per formula unit
theoretical density: 8999 kg/m3
Fermi-level density of states: 1.37 states/eV/atom
formation energy from the elements: -2 meV/atom

Geometry as POSCAR:
```
TbDy8Tl2
1.0
4.431 -7.592 0.000
4.431 7.592 0.000
-2.273 0.000 5.123
Tb Dy Tl
1 8 2
Direct
0.000 0.000 0.000
0.095 0.322 0.618
0.217 0.783 0.000
0.322 0.095 0.618
0.402 0.402 0.203
0.598 0.598 0.797
0.678 0.905 0.382
0.783 0.217 0.000
0.905 0.678 0.382
0.306 0.694 0.500
0.694 0.306 0.500
```



No. 4
A plane-wave DFT calculation with GGA-PBE was carried out for crystalline Ge2Se at its relaxed geometry.

Values from the calculation:
M_tot: 0.0 μB per formula unit
theoretical density: 4762 kg/m3
distance to the lowest polymorph of the same formula: 0.001 eV/atom
energy relative to the elements, uncorrected: -0.052 eV per atom
Fermi-level density of states: 0.08 states/eV/atom

Geometry as POSCAR:
```
Ge2Se
1.0
3.929 0.000 0.000
0.000 3.898 5.105
0.000 -3.898 5.105
Ge Se
4 2
Direct
0.250 0.096 0.904
0.250 0.514 0.830
0.750 0.830 0.514
0.750 0.904 0.096
0.250 0.099 0.513
0.750 0.513 0.099
```



No. 5
A plane-wave DFT calculation with GGA-PBE was carried out for crystalline Mn2CoAs at its relaxed geometry.

Values from the calculation:
M_tot: 6.2 μB per formula unit
theoretical density: 8008 kg/m3
Fermi-level density of states: 0.83 states/eV/atom
formation energy from the elements: 25 meV/atom

Geometry as POSCAR:
```
Mn2CoAs
1.0
2.525 -3.375 0.000
2.525 3.375 0.000
0.000 0.000 2.966
Mn Co As
2 1 1
Direct
0.000 0.500 0.000
0.500 0.000 0.000
0.000 0.000 0.500
0.500 0.500 0.500
```



No. 6
A plane-wave DFT calculation with GGA-PBE was carried out for crystalline TbHo2ErTl2 at its relaxed geometry.

Values from the calculation:
M_tot: 0.0 μB per formula unit
theoretical density: 10309 kg/m3
Fermi-level density of states: 1.01 states/eV/atom
formation energy from the elements: -266 meV/atom

Geometry as POSCAR:
```
TbHo2ErTl2
1.0
5.074 0.000 0.000
0.000 9.923 0.000
0.000 0.000 6.814
Tb Ho Er Tl
2 4 2 4
Direct
0.000 0.043 0.000
0.000 0.957 0.500
0.000 0.314 0.378
0.000 0.686 0.878
0.500 0.456 0.094
0.500 0.544 0.594
0.500 0.190 0.717
0.500 0.810 0.217
0.000 0.366 0.839
0.000 0.634 0.339
0.500 0.133 0.257
0.500 0.867 0.757
```



No. 7
A plane-wave DFT calculation with GGA-PBE was carried out for crystalline Tl3Ge2Au4 at its relaxed geometry.

Values from the calculation:
M_tot: 0.0 μB per formula unit
theoretical density: 11971 kg/m3
distance to the lowest polymorph of the same formula: 0.000 eV/atom
Fermi-level density of states: 0.33 states/eV/atom
formation energy from the elements: -6 meV/atom

Geometry as POSCAR:
```
Tl3Ge2Au4
1.0
6.412 -2.110 0.000
6.412 2.110 0.000
-3.161 0.000 7.926
Tl Ge Au
3 2 4
Direct
0.000 0.000 0.000
0.402 0.402 0.279
0.598 0.598 0.721
0.320 0.320 0.636
0.680 0.680 0.364
0.099 0.099 0.460
0.292 0.292 0.915
0.708 0.708 0.085
0.901 0.901 0.540
```



No. 8
A plane-wave DFT calculation with GGA-PBE was carried out for crystalline FeSb2Ir at its relaxed geometry.

Values from the calculation:
M_tot: 2.2 μB per formula unit
theoretical density: 11020 kg/m3
distance to the lowest polymorph of the same formula: 0.172 eV/atom
energy relative to the elements, uncorrected: 0.069 eV per atom
Fermi-level density of states: 0.89 states/eV/atom

Geometry as POSCAR:
```
FeSb2Ir
1.0
3.992 0.000 0.000
0.000 1.839 5.045
0.000 -1.839 5.045
Fe Sb Ir
1 2 1
Direct
0.000 0.000 0.000
0.000 0.731 0.731
0.500 0.441 0.441
0.500 0.165 0.165
```



No. 9
A plane-wave DFT calculation with GGA-PBE was carried out for crystalline PaSbHPd at its relaxed geometry.

Values from the calculation:
M_tot: 1.0 μB per formula unit
theoretical density: 10587 kg/m3
uncorrected energy: -6.069 eV/atom
Fermi-level density of states: 1.04 states/eV/atom

Geometry as POSCAR:
```
PaSbHPd
1.0
4.471 0.000 0.000
-2.236 3.872 0.000
0.000 0.000 4.169
Pa Sb H Pd
1 1 1 1
Direct
0.000 0.000 0.000
0.333 0.667 0.539
0.667 0.333 0.970
0.667 0.333 0.387
```



No. 10
A plane-wave DFT calculation with GGA-PBE was carried out for crystalline BaSc2O at its relaxed geometry.

Values from the calculation:
M_tot: 0.0 μB per formula unit
theoretical density: 3570 kg/m3
energy relative to the elements, uncorrected: -1.297 eV per atom
Fermi-level density of states: 2.56 states/eV/atom

Geometry as POSCAR:
```
BaSc2O
1.0
-3.421 3.421 4.833
3.421 -3.421 4.833
3.421 3.421 -4.833
Ba Sc O
2 4 2
Direct
0.375 0.625 0.750
0.625 0.375 0.250
0.000 0.000 0.000
0.000 0.000 0.500
0.000 0.500 0.000
0.500 0.000 0.500
0.125 0.875 0.250
0.875 0.125 0.750
```



No. 11
A plane-wave DFT calculation with GGA-PBE was carried out for crystalline ZnSiSb2 at its relaxed geometry.

Values from the calculation:
M_tot: 0.0 μB per formula unit
theoretical density: 6114 kg/m3
energy relative to the elements, uncorrected: 0.231 eV per atom
Fermi-level density of states: 0.48 states/eV/atom

Geometry as POSCAR:
```
ZnSiSb2
1.0
3.505 -1.995 0.000
3.505 1.995 0.000
-2.338 0.000 6.543
Zn Si Sb
1 1 2
Direct
0.000 0.000 0.000
0.273 0.273 0.812
0.525 0.525 0.570
0.751 0.751 0.254
```



No. 12
A plane-wave DFT calculation with GGA-PBE was carried out for crystalline LiPmCu17 at its relaxed geometry.

Values from the calculation:
M_tot: 0.0 μB per formula unit
theoretical density: 7849 kg/m3
Fermi-level density of states: 0.30 states/eV/atom
formation energy from the elements: -29 meV/atom

Geometry as POSCAR:
```
LiPmCu17
1.0
4.249 2.453 4.169
-4.249 2.453 4.169
0.000 -4.906 4.169
Li Pm Cu
1 1 17
Direct
0.000 0.000 0.000
0.683 0.683 0.683
0.044 0.337 0.642
0.044 0.642 0.337
0.183 0.688 0.688
0.240 0.240 0.240
0.337 0.044 0.642
0.337 0.642 0.044
0.343 0.343 0.840
0.343 0.840 0.343
0.435 0.435 0.435
0.487 0.997 0.997
0.642 0.044 0.337
0.642 0.337 0.044
0.688 0.183 0.688
0.688 0.688 0.183
0.840 0.343 0.343
0.997 0.487 0.997
0.997 0.997 0.487
```